A relaxed Tb6Dy3Zr crystal, computed with PBE.

```
20
Lattice="-4.335 1.190 1.935 2.261 -6.580 9.113 9.138 7.767 3.341" Properties=species:S:1:pos:R:3 pbc="T T T"
Tb 2.886 3.066 4.592
Tb 3.432 6.401 3.773
Tb 3.633 -4.025 10.616
Tb 8.187 1.431 11.297
Tb 6.076 2.887 5.660
Tb 0.988 -0.511 8.729
Tb 4.904 3.742 8.700
Tb 5.448 7.077 7.877
Tb 1.616 -4.700 6.512
Tb 2.160 -1.366 5.689
Tb -1.123 0.946 3.092
Tb 4.178 -0.689 9.797
Dy 0.326 1.434 6.049
Dy -1.037 -2.695 5.524
Dy 4.569 3.883 1.671
Dy 6.596 6.080 4.872
Dy 6.739 0.943 8.340
Dy 0.469 -3.703 9.516
Zr 3.532 1.188 7.194
Zr 0.000 0.000 0.000
```

Output
Electronic total energy = -4.80 eV per atom
Formation energy from the elements = 0.210 eV per atom